[1]
Material: LiVPd3
Method: DFT, PBE
State: relaxed

The density of states at the Fermi level comes out at 12.55 states/eV/cell. The calculation puts the spin magnetization at 1.4 μB/f.u. The energy above the most stable polymorph in this dataset comes out at 114.5 meV per atom.

The space group is C2/c (No. 15) and the conventional cell measures 7.223, 12.654 and 3.908 Å, with angles of 90.00, 122.63 and 90.00 degrees. The asymmetric unit holds Li at (0.000, 0.240, 0.250), V at (0.000, 0.077, 0.750), Pd at (0.221, 0.418, 0.472) and Pd at (0.250, 0.250, 0.000).



[2]
Material: LiVPd2
Method: DFT, PBE
State: relaxed

The density of states at the Fermi level comes out at 3.94 states/eV/cell. Its raw total energy is -5.665 eV/atom. The calculation puts the spin magnetization at 0.0 μB/f.u.

The space group is P4/mmm (No. 123) and the conventional cell measures 2.815, 2.815 and 7.060 Å, with angles of 90.00, 90.00 and 90.00 degrees. The asymmetric unit holds Li at (0.000, 0.000, 0.000), V at (0.000, 0.000, 0.500) and Pd at (0.500, 0.500, 0.249).



[3]
Material: Li3VPd6
Method: DFT, PBE
State: relaxed

The density of states at the Fermi level comes out at 11.37 states/eV/cell. Its raw total energy is -4.934 eV/atom. The calculation puts the spin magnetization at 0.0 μB/f.u.

The space group is P2_1/m (No. 11) and the conventional cell measures 7.908, 4.063 and 8.928 Å, with angles of 90.00, 98.84 and 90.00 degrees. The asymmetric unit holds Li at (0.053, 0.250, 0.396), Li at (0.153, 0.750, 0.188), Li at (0.249, 0.250, 0.980), V at (0.436, 0.250, 0.621), Pd at (0.037, 0.750, 0.897), Pd at (0.125, 0.250, 0.682), Pd at (0.257, 0.750, 0.487), Pd at (0.341, 0.750, 0.789), Pd at (0.356, 0.250, 0.307) and Pd at (0.442, 0.750, 0.098).



[4]
Material: LiVPd4
Method: DFT, PBE
State: relaxed

The density of states at the Fermi level comes out at 17.75 states/eV/cell. The calculation puts the spin magnetization at 0.0 μB/f.u. The energy above the most stable polymorph in this dataset comes out at 0.0 meV per atom.

The space group is Pnma (No. 62) and the conventional cell measures 7.426, 2.758 and 17.032 Å, with angles of 90.00, 90.00 and 90.00 degrees. The asymmetric unit holds Li at (0.248, 0.250, 0.188), V at (0.250, 0.250, 0.936), Pd at (0.054, 0.250, 0.066), Pd at (0.077, 0.250, 0.802), Pd at (0.094, 0.250, 0.326) and Pd at (0.107, 0.250, 0.555).



[5]
Material: Li2VPd
Method: DFT, PBE
State: relaxed

The density of states at the Fermi level comes out at 20.09 states/eV/cell. The calculation puts the spin magnetization at 3.6 μB/f.u. The energy above the most stable polymorph in this dataset comes out at 90.8 meV per atom.

The space group is Fm-3m (No. 225) and the conventional cell measures 6.131, 6.131 and 6.131 Å, with angles of 90.00, 90.00 and 90.00 degrees. The asymmetric unit holds Li at (0.250, 0.250, 0.250), V at (0.000, 0.000, 0.000) and Pd at (0.000, 0.000, 0.500).



[6]
Material: LiV3Pd
Method: DFT, PBE
State: relaxed

The density of states at the Fermi level comes out at 8.24 states/eV/cell. The calculation puts the spin magnetization at 1.8 μB/f.u. The energy above the most stable polymorph in this dataset comes out at 0.0 meV per atom.

The space group is Pm-3m (No. 221) and the conventional cell measures 4.111, 4.111 and 4.111 Å, with angles of 90.00, 90.00 and 90.00 degrees. The asymmetric unit holds Li at (0.000, 0.000, 0.000), V at (0.000, 0.000, 0.500) and Pd at (0.500, 0.500, 0.500).



[7]
Material: LiV2Pd6
Method: DFT, PBE
State: relaxed

The density of states at the Fermi level comes out at 7.90 states/eV/cell. Its raw total energy is -5.909 eV/atom. The calculation puts the spin magnetization at 0.0 μB/f.u.

The space group is P-31m (No. 162) and the conventional cell measures 7.5146, 7.5146 and 2.7025 Å, with angles of 90.00, 90.00 and 120.00 degrees. The asymmetric unit holds Li at (0.0000, 0.0000, 0.0000), V at (0.3333, 0.6667, 0.5000) and Pd at (0.0000, 0.3346, 0.7519).



[8]
Material: LiVPd5
Method: DFT, PBE
State: relaxed

The density of states at the Fermi level comes out at 14.97 states/eV/cell. Its raw total energy is -5.426 eV/atom. The calculation puts the spin magnetization at 0.0 μB/f.u.

The space group is C2/c (No. 15) and the conventional cell measures 9.122, 5.560 and 9.152 Å, with angles of 90.00, 107.26 and 90.00 degrees. The asymmetric unit holds Li at (0.250, 0.250, 0.000), V at (0.000, 0.120, 0.250), Pd at (0.000, 0.316, 0.750), Pd at (0.095, 0.314, 0.484) and Pd at (0.250, 0.064, 0.739).